[1]
Computed, not measured: InBi2Os after structural relaxation at the PBE level of DFT. Values from VASP.

**DFT total energy**: -4.546 eV per atom
**ΔH_f (0 K)**: 0.8870 eV per atom

Quantum ESPRESSO input file:
```
&SYSTEM
  ibrav = 0, nat = 4, ntyp = 3
/
ATOMIC_SPECIES
In 114.82 In.upf
Bi 208.98 Bi.upf
Os 190.23 Os.upf
ATOMIC_POSITIONS crystal
In 0.000 0.000 0.000
Bi 0.424 0.424 0.424
Bi 0.576 0.576 0.576
Os 0.500 0.500 0.500
CELL_PARAMETERS angstrom
1.610 0.930 11.667
-1.610 0.930 11.667
0.000 -1.859 11.667
```

[2]
Computed, not measured: In2BiOs after structural relaxation at the PBE level of DFT. Values from VASP.

**DFT total energy**: -4.415 eV per atom
**ΔH_f (0 K)**: 0.7315 eV per atom

Quantum ESPRESSO input file:
```
&SYSTEM
  ibrav = 0, nat = 8, ntyp = 3
/
ATOMIC_SPECIES
In 114.82 In.upf
Bi 208.98 Bi.upf
Os 190.23 Os.upf
ATOMIC_POSITIONS crystal
In 0.078 0.625 0.953
In 0.375 0.328 0.453
In 0.672 0.125 0.047
In 0.875 0.922 0.547
Bi 0.250 0.750 0.500
Bi 0.500 0.500 0.000
Os 0.000 0.000 0.000
Os 0.750 0.250 0.500
CELL_PARAMETERS angstrom
-2.231 2.231 9.739
2.231 -2.231 9.739
2.231 2.231 -9.739
```

[3]
Computed, not measured: InBi3Os after structural relaxation at the PBE level of DFT. Values from VASP.

**Distance to the lowest polymorph of the same formula**: 0 meV/atom
**DFT total energy**: -4.443 eV per atom
**ΔH_f (0 K)**: 0.6795 eV per atom

Quantum ESPRESSO input file:
```
&SYSTEM
  ibrav = 0, nat = 5, ntyp = 3
/
ATOMIC_SPECIES
In 114.82 In.upf
Bi 208.98 Bi.upf
Os 190.23 Os.upf
ATOMIC_POSITIONS crystal
In 0.000 0.000 0.000
Bi 0.000 0.500 0.500
Bi 0.500 0.000 0.500
Bi 0.500 0.500 0.000
Os 0.500 0.500 0.500
CELL_PARAMETERS angstrom
5.387 0.000 0.000
0.000 5.387 0.000
0.000 0.000 5.387
```

What is the formula in the first record?
InBi2Os

Which formula does entry 2 have?
In2BiOs

Repeat the third record exactly.
Computed, not measured: InBi3Os after structural relaxation at the PBE level of DFT. Values from VASP.

**Distance to the lowest polymorph of the same formula**: 0 meV/atom
**DFT total energy**: -4.443 eV per atom
**ΔH_f (0 K)**: 0.6795 eV per atom

Quantum ESPRESSO input file:
```
&SYSTEM
  ibrav = 0, nat = 5, ntyp = 3
/
ATOMIC_SPECIES
In 114.82 In.upf
Bi 208.98 Bi.upf
Os 190.23 Os.upf
ATOMIC_POSITIONS crystal
In 0.000 0.000 0.000
Bi 0.000 0.500 0.500
Bi 0.500 0.000 0.500
Bi 0.500 0.500 0.000
Os 0.500 0.500 0.500
CELL_PARAMETERS angstrom
5.387 0.000 0.000
0.000 5.387 0.000
0.000 0.000 5.387
```